The following is a GGA-PBE calculation of a relaxed GaHgPd3 crystal, from the Alexandria database.

Summary:
* mass density: 11.9 g cm⁻³
* energy above the lowest structure with this stoichiometry: 0 meV/atom
* DOS(E_F): 3.948 states/eV/cell
* energy of formation from the pure elements: -318 meV per atom
* symmetry: No. 1
* volume: 165 Å³ per cell
* total magnetization: 0.0 μB per formula unit

Structure (POSCAR):
```
GaHgPd3
1.0
-1.1550 5.2932 0.7109
-0.6909 1.9584 5.1831
5.0966 5.0981 3.0807
Pd Hg Ga
6 2 2
Cartesian
3.0994 5.5793 4.1609 Pd
-0.2626 1.6855 3.1237 Pd
3.5639 8.4817 4.1511 Pd
1.2255 7.1917 2.7942 Pd
0.8339 4.2946 2.6228 Pd
0.9501 7.9966 5.4213 Pd
3.1614 9.1374 6.8379 Hg
0.4501 5.2652 5.1478 Hg
2.4826 6.3432 6.9454 Ga
-0.6702 5.8958 1.3880 Ga
```